1.
Entry from Alexandria via LeMat-Bulk: crystalline BeSe2 at its relaxed geometry (PBE-GGA).

POSCAR file:
```
BeSe2
1.0
1.7214 7.0011 -0.1726
-1.7214 7.0011 -0.1726
0.0000 4.7953 5.1723
Se Be
4 2
Direct
0.6418 0.6418 0.3073
0.1235 0.1235 0.8400
0.3582 0.3582 0.6927
0.8765 0.8765 0.1600
0.6941 0.6941 0.9296
0.3059 0.3059 0.0704
```

Summary:
**Fermi-level density of states**: 0.8 states/eV/f.u.

=====

2.
Entry from Alexandria via LeMat-Bulk: crystalline BeSe2 at its relaxed geometry (PBE-GGA).

POSCAR file:
```
BeSe2
1.0
1.6515 5.5126 0.2976
-1.6515 5.5126 0.2976
0.0000 0.9328 7.2065
Se Be
4 2
Direct
0.8641 0.8641 0.0004
0.0755 0.0755 0.6008
0.9245 0.9245 0.3992
0.1359 0.1359 0.9996
0.4851 0.4851 0.1733
0.5149 0.5149 0.8267
```

Summary:
**Fermi-level density of states**: 1.3 states/eV/f.u.

=====

3.
Entry from Alexandria via LeMat-Bulk: crystalline BeSiSe2 at its relaxed geometry (PBE-GGA).

POSCAR file:
```
BeSiSe2
1.0
8.0345 0.0685 0.0000
6.5041 4.7176 0.0000
-7.2693 -2.3930 2.4473
Se Be Si
2 1 1
Direct
0.0000 0.0000 0.0000
0.2500 0.7500 0.5000
0.7500 0.2500 0.5000
0.5000 0.5000 0.0000
```

Summary:
**Fermi-level density of states**: 2.3 states/eV/f.u.

=====

4.
Entry from Alexandria via LeMat-Bulk: crystalline Be2SiSe at its relaxed geometry (PBE-GGA).

POSCAR file:
```
Be2SiSe
1.0
2.6302 0.0000 0.0000
0.0000 3.4910 -0.0019
0.0000 0.0027 6.4265
Be Se Si
2 1 1
Direct
0.0000 0.2501 0.9298
0.0000 0.2499 0.5702
0.5000 0.2500 0.2500
0.5000 0.7500 0.7500
```

Summary:
**Fermi-level density of states**: 1.5 states/eV/f.u.

=====

5.
Entry from Alexandria via LeMat-Bulk: crystalline BeSiSe2 at its relaxed geometry (PBE-GGA).

POSCAR file:
```
BeSiSe2
1.0
-4.9245 2.5972 2.1803
-3.3498 -4.3239 -2.4152
-3.6950 -3.5539 4.0862
Se Be Si
4 2 2
Direct
0.3750 0.4365 0.7500
0.1865 0.6250 0.2500
0.5635 0.1250 0.2500
0.8750 0.8135 0.7500
0.5000 0.5000 0.0000
0.2500 0.7500 0.5000
0.7500 0.2500 0.5000
0.0000 0.0000 0.0000
```

Summary:
**Fermi-level density of states**: 0.3 states/eV/f.u.

=====

6.
Entry from Alexandria via LeMat-Bulk: crystalline BeSiSe2 at its relaxed geometry (PBE-GGA).

POSCAR file:
```
BeSiSe2
1.0
3.6745 0.0000 0.0000
0.0000 3.6750 0.0000
0.0000 0.0000 5.4007
Be Si Se
1 1 2
Direct
0.5000 0.5000 0.8244
0.0000 0.0000 0.3643
0.5000 0.5000 0.4086
0.0000 0.0000 0.9027
```

Summary:
**Fermi-level density of states**: 0.9 states/eV/f.u.

=====

7.
Entry from Alexandria via LeMat-Bulk: crystalline BeSi2Se at its relaxed geometry (PBE-GGA).

POSCAR file:
```
BeSi2Se
1.0
-0.4648 -1.0613 3.4262
1.2898 -3.3652 -0.8674
5.8232 1.8459 1.3618
Se Si Be
1 2 1
Direct
0.5000 0.6631 0.6305
0.5000 0.1141 0.3598
0.0000 0.1133 0.1285
0.0000 0.6095 0.3812
```

Summary:
**Fermi-level density of states**: 0.3 states/eV/f.u.

=====

8.
Entry from Alexandria via LeMat-Bulk: crystalline Be2SiSe at its relaxed geometry (PBE-GGA).

POSCAR file:
```
Be2SiSe
1.0
5.7485 -0.0013 0.0000
3.8095 4.3050 0.0000
-4.7790 -2.1518 2.3613
Be Se Si
2 1 1
Direct
0.2500 0.7500 0.5000
0.0000 0.0000 0.0000
0.5000 0.5000 0.0000
0.7500 0.2500 0.5000
```

Summary:
**Fermi-level density of states**: 2.1 states/eV/f.u.

=====

no.,relative energy among the computed polymorphs (meV/atom),total magnetization (μB/f.u.),formation energy (no corrections) (kJ/mol of formula units)
1,100.4,0.00,-78
2,346.2,0.00,-7
3,717.2,0.00,120
4,262.5,0.00,142
5,302.3,0.00,-41
6,351.8,0.00,-21
7,436.6,0.00,83
8,431.3,0.00,207